Density functional theory data (GGA-PBE) for crystalline CePr6Sm2Er at its relaxed geometry.

Lattice parameters (Å, degrees): 6.7429 6.7429 8.9571 102.34 102.34 63.65
Fractional positions:
Ce 0.0000 0.0000 0.0000
Pr 0.0892 0.5595 0.2048
Pr 0.1225 0.1225 0.4144
Pr 0.4405 0.9108 0.7952
Pr 0.5595 0.0892 0.2048
Pr 0.8775 0.8775 0.5856
Pr 0.9108 0.4405 0.7952
Sm 0.4104 0.4104 0.8333
Sm 0.5896 0.5896 0.1667
Er 0.5000 0.5000 0.5000

Results
The value obtained for the total energy is -4.634 eV/atom. For the density of states at the Fermi level, the calculation gives 21.380 states/eV/f.u. Its formation energy from the elements is 5.246 kcal/mol of atoms. As for the space group: C2/m, No. 12.